VASP calculation (PBE-GGA) on LiSmPd4 after structural relaxation.

For the excess energy over the best structure of this formula in the dataset, the calculation gives 0.000 eV per atom. For the formation energy, the calculation gives -0.61 eV/atom.

The structure belongs to space group F-43m (No. 216); the cell edges are 7.590, 7.590 and 7.590 Å and the angles 90.00°, 90.00° and 90.00°. The inequivalent atoms are Li at (0.000, 0.000, 0.000), Sm at (0.250, 0.250, 0.250) and Pd at (0.125, 0.125, 0.625).